Entry 1:
Material: CdRhNO2
Method: DFT, GGA-PBE
State: optimized geometry

## Properties
- symmetry = P4/mmm, No. 123
- formation energy (no corrections) (eV per atom) = 1.3774

a b c (Å): 4.189 4.189 4.149
angles (deg): 90.00 90.00 90.00
Sites, in units of the cell vectors:
1 O 0.500 0.000 0.000
2 O 0.000 0.500 0.000
3 N 0.000 0.000 0.500
4 Cd 0.000 0.000 0.000
5 Rh 0.500 0.500 0.500



Entry 2:
Material: NaAg5Te3
Method: DFT, GGA-PBE
State: optimized geometry

## Properties
- symmetry = Cmcm, No. 63
- formation energy (no corrections) (eV per atom) = -0.1907

a b c (Å): 4.486 7.998 13.131
angles (deg): 90.00 90.00 106.29
Sites, in units of the cell vectors:
1 Te 0.623 0.247 0.085
2 Te 0.872 0.743 0.250
3 Te 0.623 0.247 0.415
4 Te 0.377 0.753 0.915
5 Te 0.128 0.257 0.750
6 Te 0.377 0.753 0.585
7 Na 0.792 0.584 0.750
8 Na 0.208 0.416 0.250
9 Ag 0.433 0.867 0.368
10 Ag 0.567 0.133 0.632
11 Ag 0.000 0.000 0.500
12 Ag 0.190 0.380 0.536
13 Ag 0.810 0.620 0.464
14 Ag 0.190 0.380 0.964
15 Ag 0.000 0.000 0.000
16 Ag 0.810 0.620 0.036
17 Ag 0.433 0.867 0.132
18 Ag 0.567 0.133 0.868



Entry 3:
Material: Pr5Sm4Dy
Method: DFT, GGA-PBE
State: optimized geometry

## Properties
- symmetry = I4mm, No. 107
- offset from the most stable computed form (eV per atom) = 0.222
- DFT formation energy (meV per atom) = 237

a b c (Å): 6.277 8.135 8.135
angles (deg): 81.44 67.30 67.30
Sites, in units of the cell vectors:
1 Sm 0.434 0.326 0.675
2 Sm 0.434 0.674 0.325
3 Sm 0.109 0.325 0.326
4 Sm 0.759 0.675 0.674
5 Pr 0.155 0.999 0.622
6 Pr 0.776 0.378 0.999
7 Pr 0.154 0.622 0.001
8 Pr 0.689 0.000 0.000
9 Pr 0.775 0.001 0.378
10 Dy 0.226 0.000 0.000



Entry 4:
Material: CaTl2Ru
Method: DFT, GGA-PBE
State: optimized geometry

## Properties
- symmetry = R-3m, No. 166
- DFT formation energy (meV per atom) = 275

a b c (Å): 9.152 9.152 9.152
angles (deg): 22.37 22.37 22.37
Sites, in units of the cell vectors:
1 Ru 0.750 0.750 0.750
2 Tl 0.489 0.489 0.489
3 Tl 0.011 0.011 0.011
4 Ca 0.250 0.250 0.250



Entry 5:
Material: CsYNi2I
Method: DFT, GGA-PBE
State: optimized geometry

## Properties
- symmetry = P4/mmm, No. 123
- formation energy (no corrections) (eV per atom) = 0.7822

a b c (Å): 4.979 4.979 5.674
angles (deg): 90.00 90.00 90.00
Sites, in units of the cell vectors:
1 Ni 0.500 0.000 0.000
2 Ni 0.000 0.500 0.000
3 Cs 0.500 0.500 0.500
4 Y 0.000 0.000 0.500
5 I 0.000 0.000 0.000



Entry 6:
Material: Rb2SiNiMo
Method: DFT, GGA-PBE
State: optimized geometry

## Properties
- symmetry = P4/mmm, No. 123
- formation energy (no corrections) (eV per atom) = 1.4549

a b c (Å): 6.375 4.558 6.375
angles (deg): 90.00 90.00 90.00
Sites, in units of the cell vectors:
1 Rb 0.000 0.000 0.500
2 Rb 0.500 0.000 0.000
3 Mo 0.000 0.500 0.000
4 Si 0.500 0.500 0.500
5 Ni 0.000 0.000 0.000



Entry 7:
Material: MgSiAg
Method: DFT, GGA-PBE
State: optimized geometry

## Properties
- symmetry = F-43m, No. 216
- formation energy (no corrections) (eV per atom) = 0.0396

a b c (Å): 4.377 4.377 4.377
angles (deg): 60.00 60.00 60.00
Sites, in units of the cell vectors:
1 Mg 0.500 0.500 0.500
2 Si 0.750 0.750 0.750
3 Ag 0.000 0.000 0.000



Entry 8:
Material: SrSmRu4
Method: DFT, GGA-PBE
State: optimized geometry

## Properties
- symmetry = F-43m, No. 216
- DFT formation energy (meV per atom) = 90

a b c (Å): 5.433 5.433 5.433
angles (deg): 60.00 60.00 60.00
Sites, in units of the cell vectors:
1 Sr 0.250 0.250 0.250
2 Ru 0.625 0.124 0.625
3 Ru 0.625 0.625 0.625
4 Ru 0.625 0.625 0.124
5 Ru 0.124 0.625 0.625
6 Sm 0.000 0.000 0.000



So what do the calculations give for total magnetic moment? Going down the list: 4.9 0.0 0.0 0.0 0.0 1.8 0.0 0.6 μB per cell.
So what do the calculations give for calculated total energy? Going down the list: -3.9242 -2.9685 -4.5007 -3.7280 -3.3039 -3.3392 -3.2500 -7.1603 eV per atom.
So what do the calculations give for N(E_F)? Going down the list: 3.485 1.781 14.950 3.716 6.761 3.976 1.808 11.253 states/eV/cell.